Here is a geometry-optimized ZnNiRhO4 structure from Alexandria via LeMat-Bulk. Energies are from PBE with a Hubbard U.

The structure in POSCAR format:
```
ZnNiRhO4
1.0
5.921 0.000 0.000
2.960 5.264 0.059
2.960 1.659 4.996
Zn O Rh Ni
2 8 2 2
direct
0.361 0.389 0.889
0.639 0.611 0.111
0.233 0.788 0.745
0.774 0.247 0.747
0.233 0.245 0.288
0.767 0.755 0.712
0.233 0.247 0.747
0.767 0.212 0.255
0.226 0.753 0.253
0.767 0.753 0.253
0.000 0.500 0.500
0.000 0.000 0.000
0.500 0.000 0.500
0.000 0.000 0.500
```

**Calculated total energy**: -76.557 eV/cell
**DOS(E_F)**: 6.63 states/eV per cell
**Crystal system**: orthorhombic
**ρ**: 6.23 Mg/m³